{
  "formula": "TbDy2S4",
  "functional": "PBE-GGA",
  "state": "relaxed",
  "lattice_angstrom": [[3.811, 0.000, 0.000], [-1.906, 6.467, 0.000], [0.000, 0.000, 13.128]],
  "species": ["S", "S", "S", "S", "S", "S", "S", "S", "Dy", "Dy", "Dy", "Dy", "Tb", "Tb"],
  "frac_coords": [[0.224, 0.448, 0.622], [0.972, 0.944, 0.750], [0.500, 0.000, 0.500], [0.776, 0.552, 0.378], [0.500, 0.000, 0.000], [0.224, 0.448, 0.878], [0.028, 0.056, 0.250], [0.776, 0.552, 0.122], [0.870, 0.741, 0.930], [0.870, 0.741, 0.570], [0.130, 0.259, 0.430], [0.130, 0.259, 0.070], [0.627, 0.253, 0.750], [0.373, 0.747, 0.250]],
  "dos_at_fermi_per_ev_cell": 4.06,
  "magnetic_moment_mub_per_cell": 0.000,
  "space_group": "Cmcm (63)",
  "polymorph_energy_kj_per_mol_atoms": 0.00,
  "formation_energy_uncorrected_ev_per_atom": -2.055
}